# 1
4
Lattice="9.745 0.058 0.034 9.294 2.932 0.034 9.294 1.460 2.543" Properties=species:S:1:pos:R:3 comment="AgPt2Br GGA-PBE optimized geometry" sg=R-3m formation_energy_uncorrected_ev_per_atom=0.413 pbc="T T T"
Br 21.250 3.338 1.959
Ag 7.083 1.113 0.653
Pt 28.252 4.437 2.604
Pt 14.247 2.238 1.313

---

# 2
25
Lattice="9.723 0.007 -0.014 8.306 5.053 -0.014 1.015 0.285 8.473" Properties=species:S:1:pos:R:3 comment="Mg2Ir3 GGA-PBE optimized geometry" sg=C2/m delta_e_f_ev_per_atom=-0.34 pbc="T T T"
Mg 13.063 3.666 0.694
Mg 5.982 1.679 7.750
Mg 8.418 2.362 3.236
Mg 10.626 2.982 5.208
Mg 13.238 3.715 3.743
Mg 5.807 1.629 4.701
Mg 10.415 2.923 0.002
Mg 8.629 2.422 8.442
Mg 17.831 5.004 1.509
Mg 1.213 0.340 6.936
Ir 2.392 0.671 0.234
Ir 16.652 4.673 8.210
Ir 6.572 0.487 1.936
Ir 12.472 4.857 6.509
Ir 13.178 2.341 6.509
Ir 5.866 3.003 1.936
Ir 0.508 0.142 4.237
Ir 14.888 4.178 6.270
Ir 4.156 1.166 2.175
Ir 16.055 4.505 3.934
Ir 2.990 0.839 4.511
Ir 10.618 4.254 2.488
Ir 8.426 1.091 5.956
Ir 7.763 3.452 5.956
Ir 11.281 1.892 2.488

---

# 3
5
Lattice="-4.892 -1.977 -0.223 1.969 -4.720 -1.354 0.307 -1.335 5.100" Properties=species:S:1:pos:R:3 comment="GaPPbS2 GGA-PBE optimized geometry" sg=P4/mmm formation_energy_uncorrected_ev_per_atom=0.725 pbc="T T T"
Pb 0.000 0.000 0.000
P 0.985 -2.360 -0.677
S 0.154 -0.668 2.550
S -2.446 -0.988 -0.111
Ga -1.308 -4.016 1.761

---

# 4
8
Lattice="-2.014 -1.785 -2.586 1.344 -4.091 1.778 -8.376 0.063 6.480" Properties=species:S:1:pos:R:3 comment="Dy4AgPd3 GGA-PBE optimized geometry" sg=Pmm2 delta_e_f_ev_per_atom=-0.76 pbc="T T T"
Dy -3.437 -2.915 1.996
Dy -6.483 -1.992 6.424
Dy -1.180 0.009 0.913
Dy -6.342 -0.853 2.835
Ag -1.025 -2.933 0.130
Pd -4.238 -2.008 4.687
Pd -3.465 0.026 2.680
Pd -8.672 -0.835 4.637

---

no.,E (eV/atom)
1,-3.738
2,-6.299
3,-3.355
4,-5.369